(1)
Zn2FeSi2 | PBE-GGA | optimized geometry

Cell: 6.092 6.092 3.846 Å, 90.00 90.00 90.00°
Each line ends with the local moment (μB).
Element x y z (fractional)
Zn  0.673  0.827  0.500  -0.02
Fe  0.000  0.000  0.000  1.39
Zn  0.327  0.173  0.500  -0.02
Fe  0.500  0.500  0.000  1.40
Si  0.360  0.860  0.000  -0.03
Si  0.860  0.640  0.000  -0.03
Si  0.640  0.140  0.000  -0.03
Zn  0.173  0.673  0.500  -0.02
Zn  0.827  0.327  0.500  -0.02
Si  0.140  0.360  0.000  -0.03

Results
- V: 143 Å³/cell
- Crystal system: tetragonal
- Offset from the most stable computed form: 0.00 eV per formula unit

(2)
PrY4Co | PBE-GGA | optimized geometry

Cell: 6.299 3.574 8.658 Å, 78.08 105.45 73.51°
Element x y z (fractional)
Co  0.500  0.500  0.500
Y  0.448  0.881  0.790
Y  0.132  0.244  0.381
Y  0.868  0.756  0.619
Pr  0.000  0.000  0.000
Y  0.552  0.119  0.210

Results
- V: 172 Å³/cell
- Crystal system: monoclinic
- Formation energy from the elements: -0.02 eV per atom